[1]
A relaxed DyCdIO6 crystal, computed with GGA-PBE.

Computed properties:
The uncorrected formation energy is -31.65 kcal/mol of atoms.

a = 5.616 Å, b = 5.616 Å, c = 9.260 Å
α = 90.00°, β = 90.00°, γ = 120.00°
Element x y z (fractional)
Dy: 0.333 0.667 0.250
Dy: 0.667 0.333 0.750
Cd: 0.000 0.000 0.000
Cd: 0.000 0.000 0.500
I: 0.333 0.667 0.750
I: 0.667 0.333 0.250
O: 0.049 0.387 0.635
O: 0.049 0.662 0.865
O: 0.338 0.387 0.865
O: 0.338 0.951 0.635
O: 0.387 0.049 0.135
O: 0.387 0.338 0.365
O: 0.613 0.662 0.635
O: 0.613 0.951 0.865
O: 0.662 0.049 0.365
O: 0.662 0.613 0.135
O: 0.951 0.338 0.135
O: 0.951 0.613 0.365


[2]
A relaxed TaReRh2 crystal, computed with GGA-PBE.

Computed properties:
The calculation puts the energy above the most stable polymorph in this dataset at 257 meV per atom.

a = 9.197 Å, b = 9.197 Å, c = 9.197 Å
α = 17.47°, β = 17.47°, γ = 17.47°
Element x y z (fractional)
Ta: 0.000 0.000 0.000
Re: 0.500 0.500 0.500
Rh: 0.248 0.248 0.248
Rh: 0.752 0.752 0.752


[3]
A relaxed InAg2AsPb crystal, computed with GGA-PBE.

Computed properties:
The calculation puts the total energy at -3.06 eV per atom.

a = 4.893 Å, b = 4.893 Å, c = 6.111 Å
α = 90.00°, β = 90.00°, γ = 90.00°
Element x y z (fractional)
In: 0.000 0.000 0.000
Ag: 0.000 0.500 0.500
Ag: 0.500 0.000 0.500
As: 0.500 0.500 0.500
Pb: 0.500 0.500 0.000


[4]
A relaxed CaSm3Ho2Se6 crystal, computed with GGA-PBE.

Computed properties:
The uncorrected formation energy is -41.79 kcal/mol of atoms.

a = 7.117 Å, b = 7.117 Å, c = 7.229 Å
α = 99.39°, β = 99.39°, γ = 120.04°
Element x y z (fractional)
Ca: 0.000 0.000 0.000
Sm: 0.164 0.836 0.500
Sm: 0.500 0.500 0.500
Sm: 0.836 0.164 0.500
Ho: 0.333 0.667 0.000
Ho: 0.667 0.333 0.000
Se: 0.080 0.416 0.242
Se: 0.256 0.256 0.763
Se: 0.416 0.080 0.242
Se: 0.584 0.920 0.758
Se: 0.744 0.744 0.237
Se: 0.920 0.584 0.758


[5]
A relaxed TcRuI3 crystal, computed with GGA-PBE.

Computed properties:
The calculation puts the energy above the most stable polymorph in this dataset at 0 meV per atom. The uncorrected formation energy is 25.91 kcal/mol of atoms.

a = 5.370 Å, b = 5.370 Å, c = 5.370 Å
α = 90.00°, β = 90.00°, γ = 90.00°
Element x y z (fractional)
Tc: 0.000 0.000 0.000
Ru: 0.500 0.500 0.500
I: 0.000 0.500 0.500
I: 0.500 0.000 0.500
I: 0.500 0.500 0.000


[6]
A relaxed Gd8Sb3O8 crystal, computed with GGA-PBE.

Computed properties:
The uncorrected formation energy is -64.10 kcal/mol of atoms.

a = 7.037 Å, b = 7.037 Å, c = 15.271 Å
α = 106.48°, β = 106.48°, γ = 31.52°
Element x y z (fractional)
Gd: 0.044 0.044 0.332
Gd: 0.144 0.144 0.930
Gd: 0.219 0.219 0.589
Gd: 0.378 0.378 0.847
Gd: 0.622 0.622 0.153
Gd: 0.781 0.781 0.411
Gd: 0.856 0.856 0.070
Gd: 0.956 0.956 0.668
Sb: 0.328 0.328 0.234
Sb: 0.500 0.500 0.500
Sb: 0.672 0.672 0.766
O: 0.029 0.029 0.133
O: 0.203 0.203 0.434
O: 0.335 0.335 0.986
O: 0.383 0.383 0.701
O: 0.617 0.617 0.299
O: 0.665 0.665 0.014
O: 0.797 0.797 0.566
O: 0.971 0.971 0.867


[7]
A relaxed K2LaBr4 crystal, computed with GGA-PBE.

Computed properties:
The uncorrected formation energy is -37.30 kcal/mol of atoms.

a = 9.443 Å, b = 9.443 Å, c = 9.443 Å
α = 143.39°, β = 143.39°, γ = 52.74°
Element x y z (fractional)
K: 0.135 0.135 0.000
K: 0.865 0.865 0.000
La: 0.500 0.500 0.000
Br: 0.000 0.500 0.500
Br: 0.325 0.325 0.000
Br: 0.500 0.000 0.500
Br: 0.675 0.675 0.000


[8]
A relaxed Sm2HfNpN4 crystal, computed with GGA-PBE.

Computed properties:
The uncorrected formation energy is -34.39 kcal/mol of atoms.

a = 5.913 Å, b = 3.419 Å, c = 6.001 Å
α = 90.00°, β = 108.71°, γ = 90.00°
Element x y z (fractional)
Sm: 0.000 0.000 0.000
Sm: 0.500 0.500 0.000
Hf: 0.000 0.500 0.500
Np: 0.500 0.000 0.500
N: 0.234 0.000 0.714
N: 0.251 0.500 0.282
N: 0.749 0.500 0.718
N: 0.766 0.000 0.286